The following is a DFT calculation (PBE-GGA) of a geometry-optimized NaLi2 structure.

Properties
- Total DFT energy (no corrections): -1.672 eV per atom
- SG: No. 12
- Volume: 153.1 Å³ per cell
- E_form: 0.044 eV per atom
- Polymorph energy (0 for the lowest one): 0.04 kcal/mol of atoms

```
NaLi2
1.0
3.4842 0.0000 0.0000
-1.7421 5.3504 -1.4423
0.0000 -0.9666 8.4727
Na Li
2 4
direct
0.6987 0.3975 0.8671
0.0235 0.0470 0.0773
0.3514 0.7029 0.2603
0.0250 0.0500 0.5312
0.6972 0.3944 0.4132
0.3708 0.7415 0.6841
```

The following is a DFT calculation (PBE-GGA) of a geometry-optimized Na3Li2 structure.

Properties
- Total DFT energy (no corrections): -1.499 eV per atom
- SG: No. 43
- Volume: 305.7 Å³ per cell
- E_form: 0.058 eV per atom
- Polymorph energy (0 for the lowest one): 0.00 kcal/mol of atoms

```
Na3Li2
1.0
-0.4499 2.3761 -2.4208
-7.4171 -0.4695 -1.5008
-2.4753 9.4572 7.3242
Na Li
6 4
direct
0.0552 0.5000 0.5000
0.0036 0.6939 0.7873
0.5409 0.1939 0.7127
0.4848 0.3061 0.2127
0.3052 0.0000 0.0000
0.4474 0.8061 0.2873
0.0086 0.6255 0.0637
0.3841 0.8745 0.5637
0.6979 0.3745 0.9363
0.8224 0.1255 0.4363
```

The following is a DFT calculation (PBE-GGA) of a geometry-optimized Na13Li2 structure.

Properties
- Total DFT energy (no corrections): -1.372 eV per atom
- SG: No. 2
- Volume: 515.6 Å³ per cell
- E_form: 0.026 eV per atom
- Polymorph energy (0 for the lowest one): 0.00 kcal/mol of atoms

```
Na13Li2
1.0
6.5046 0.0076 0.4451
-0.7957 9.1031 0.0202
-0.1829 -4.4834 8.6579
Na Li
13 2
direct
0.4739 0.8719 0.7954
0.0000 0.0000 0.0000
0.3693 0.5987 0.4137
0.8568 0.4729 0.2305
0.6764 0.6607 0.9937
0.2571 0.0695 0.5924
0.6307 0.4013 0.5863
0.7429 0.9305 0.4076
0.5261 0.1281 0.2046
0.3236 0.3393 0.0063
0.1432 0.5271 0.7695
0.8016 0.2081 0.8081
0.1984 0.7919 0.1919
0.0687 0.2551 0.3884
0.9313 0.7449 0.6116
```